The following is a PBE with a Hubbard U calculation of PaV2SnO8 after structural relaxation, from Alexandria.

The value obtained for the total magnetization is 1.0 μB/f.u. The value obtained for the total energy is -7.817 eV per atom.

The structure belongs to space group P-3m1 (No. 164); the cell edges are 5.8471, 5.8471 and 6.9801 Å and the angles 90.00°, 90.00° and 120.00°. The inequivalent atoms are Pa at (0.0000, 0.0000, 0.0000), V at (0.3333, 0.6667, 0.7104), Sn at (0.0000, 0.0000, 0.5000), O at (0.1638, 0.3276, 0.7953) and O at (0.3333, 0.6667, 0.4727).